(1)
Ba2TlAg2Pd5 | PBE-GGA | relaxed

Lattice parameters (Å, degrees): 10.3901 10.3901 4.0852 90.00 90.00 90.00
Positions (direct):
Ba  0.1761  0.3239  0.0000
Ba  0.3239  0.8239  0.0000
Ba  0.6761  0.1761  0.0000
Ba  0.8239  0.6761  0.0000
Tl  0.0000  0.0000  0.0000
Tl  0.5000  0.5000  0.0000
Ag  0.1230  0.6230  0.0000
Ag  0.3770  0.1230  0.0000
Ag  0.6230  0.8770  0.0000
Ag  0.8770  0.3770  0.0000
Pd  0.0000  0.5000  0.5000
Pd  0.0563  0.7998  0.5000
Pd  0.2002  0.0563  0.5000
Pd  0.2998  0.5563  0.5000
Pd  0.4437  0.2998  0.5000
Pd  0.5000  0.0000  0.5000
Pd  0.5563  0.7002  0.5000
Pd  0.7002  0.4437  0.5000
Pd  0.7998  0.9437  0.5000
Pd  0.9437  0.2002  0.5000

Output
ΔH_f (0 K): -0.2850 eV per atom
Spin magnetization: 0.0 μB/f.u.

---

(2)
Cu3SiB | PBE-GGA | relaxed

Lattice parameters (Å, degrees): 4.3859 4.3859 4.3859 90.00 90.00 90.00
Positions (direct):
Cu  0.0000  0.0000  0.5000
Cu  0.0000  0.5000  0.0000
Cu  0.5000  0.0000  0.0000
Si  0.0000  0.0000  0.0000
B  0.5000  0.5000  0.5000

Output
Energy relative to the lowest polymorph listed for this composition: 833.9 meV/atom
Spin magnetization: 0.0 μB/f.u.
Raw formation energy: 6.19 eV per formula unit

---

(3)
Li2MgIn2 | PBE-GGA | relaxed

Lattice parameters (Å, degrees): 5.2426 5.2426 6.8574 128.62 128.62 50.38
Positions (direct):
Li  0.0915  0.0915  0.3905
Li  0.9085  0.9085  0.6095
Mg  0.5000  0.5000  0.0000
In  0.2959  0.2959  0.2084
In  0.7041  0.7041  0.7916

Output
Energy relative to the lowest polymorph listed for this composition: 0.0 meV/atom
ΔH_f (0 K): -0.2024 eV per atom
Spin magnetization: 0.0 μB/f.u.

---

(4)
CaLaZn2 | PBE-GGA | relaxed

Lattice parameters (Å, degrees): 6.7962 6.7962 6.7962 107.32 107.32 113.86
Positions (direct):
Ca  0.0000  0.0000  0.0000
Ca  0.7500  0.2500  0.5000
La  0.2500  0.7500  0.5000
La  0.5000  0.5000  0.0000
Zn  0.1223  0.6250  0.9973
Zn  0.3750  0.3723  0.4973
Zn  0.6277  0.1250  0.0027
Zn  0.8750  0.8777  0.5027

Output
Energy relative to the lowest polymorph listed for this composition: 395.2 meV/atom
ΔH_f (0 K): 0.0856 eV per atom
Spin magnetization: 0.0 μB/f.u.

---

(5)
RbSrIr2 | PBE-GGA | relaxed

Lattice parameters (Å, degrees): 11.0129 11.0129 11.0129 153.91 153.91 37.22
Positions (direct):
Rb  0.0000  0.0000  0.0000
Rb  0.7500  0.2500  0.5000
Sr  0.2500  0.7500  0.5000
Sr  0.5000  0.5000  0.0000
Ir  0.3413  0.6250  0.2163
Ir  0.3750  0.5913  0.7163
Ir  0.4087  0.1250  0.7837
Ir  0.8750  0.6587  0.2837

Output
Energy relative to the lowest polymorph listed for this composition: 0.0 meV/atom
ΔH_f (0 K): 0.7172 eV per atom
Spin magnetization: 0.0 μB/f.u.

---

(6)
TlCuPd2Cl6 | PBE-GGA | relaxed

Lattice parameters (Å, degrees): 6.4212 6.6486 7.2523 74.11 86.55 68.95
Positions (direct):
Tl  0.0000  0.0000  0.0000
Cu  0.3054  0.2126  0.3348
Pd  0.6313  0.0759  0.8069
Pd  0.7347  0.4798  0.0331
Cl  0.2824  0.1226  0.6660
Cl  0.3256  0.9069  0.2346
Cl  0.4745  0.4354  0.8492
Cl  0.6547  0.2389  0.3082
Cl  0.8087  0.7233  0.7580
Cl  0.9957  0.5252  0.2180

Output
Spin magnetization: 0.1 μB/f.u.
Raw formation energy: -5.31 eV per formula unit

---

(7)
Rb3CrIr | PBE-GGA | relaxed

Lattice parameters (Å, degrees): 6.4060 6.4060 6.4060 90.00 90.00 90.00
Positions (direct):
Rb  0.0000  0.0000  0.5000
Rb  0.0000  0.5000  0.0000
Rb  0.5000  0.0000  0.0000
Cr  0.5000  0.5000  0.5000
Ir  0.0000  0.0000  0.0000

Output
Energy relative to the lowest polymorph listed for this composition: 0.0 meV/atom
ΔH_f (0 K): 1.1923 eV per atom
Spin magnetization: 4.0 μB/f.u.

---

(8)
PaMn2CrSe6 | PBE-GGA | relaxed

Lattice parameters (Å, degrees): 7.2570 7.2570 7.2570 54.76 54.76 54.76
Positions (direct):
Pa  0.0000  0.0000  0.0000
Mn  0.3139  0.3139  0.3139
Mn  0.8156  0.8156  0.8156
Cr  0.4987  0.4987  0.4987
Se  0.1056  0.4220  0.7151
Se  0.2394  0.8961  0.5844
Se  0.4220  0.7151  0.1056
Se  0.5844  0.2394  0.8961
Se  0.7151  0.1056  0.4220
Se  0.8961  0.5844  0.2394

Output
Spin magnetization: 13.1 μB/f.u.
Raw formation energy: -6.99 eV per formula unit